No. 1
The following is a DFT calculation (PBE) of a geometry-optimized MgGaPd4 structure.

Cell: 4.197 4.197 7.254 Å, 106.75 106.75 59.89°
Sites, in units of the cell vectors:
Mg: 0.000 0.000 0.000
Ga: 0.500 0.500 0.500
Pd: 0.128 0.128 0.385
Pd: 0.378 0.378 0.135
Pd: 0.622 0.622 0.865
Pd: 0.872 0.872 0.615

N(E_F)   1.917 states/eV per cell
Energy of formation   -0.388 eV/atom
Theoretical density   8.28 g/cm³

***

No. 2
The following is a DFT calculation (PBE) of a geometry-optimized Li8Tl2Ag structure.

Cell: 7.641 7.641 6.593 Å, 107.09 107.09 33.54°
Sites, in units of the cell vectors:
Li: 0.033 0.033 0.233
Li: 0.143 0.143 0.680
Li: 0.328 0.328 0.592
Li: 0.404 0.404 0.065
Li: 0.596 0.596 0.935
Li: 0.672 0.672 0.408
Li: 0.857 0.857 0.320
Li: 0.967 0.967 0.767
Tl: 0.212 0.212 0.148
Tl: 0.788 0.788 0.852
Ag: 0.500 0.500 0.500

N(E_F)   4.202 states/eV per cell
Energy of formation   -0.182 eV/atom
Theoretical density   4.69 g/cm³

***

No. 3
The following is a DFT calculation (PBE) of a geometry-optimized ZrNp2TaN4 structure.

Cell: 5.685 3.272 5.815 Å, 90.00 108.91 90.00°
Sites, in units of the cell vectors:
Zr: 0.000 0.000 0.000
Np: 0.000 0.500 0.500
Np: 0.500 0.000 0.500
Ta: 0.500 0.500 0.000
N: 0.253 0.500 0.229
N: 0.269 0.000 0.777
N: 0.731 0.000 0.223
N: 0.747 0.500 0.771

N(E_F)   11.148 states/eV per cell
Final energy   -0.826 Ry per atom
Theoretical density   13.02 g/cm³

***

No. 4
The following is a DFT calculation (PBE) of a geometry-optimized SmZn4Rh structure.

Cell: 5.182 5.182 5.182 Å, 60.00 60.00 60.00°
Sites, in units of the cell vectors:
Sm: 0.000 0.000 0.000
Zn: 0.130 0.623 0.623
Zn: 0.623 0.130 0.623
Zn: 0.623 0.623 0.130
Zn: 0.623 0.623 0.623
Rh: 0.250 0.250 0.250

Energy of formation   -0.427 eV/atom
Theoretical density   8.69 g/cm³

***

No. 5
The following is a DFT calculation (PBE) of a geometry-optimized Sr2CaAg3Bi4 structure.

Cell: 4.910 4.910 12.824 Å, 90.00 90.00 90.00°
Sites, in units of the cell vectors:
Sr: 0.000 0.500 0.232
Sr: 0.500 0.000 0.768
Ca: 0.000 0.000 0.500
Ag: 0.000 0.500 0.867
Ag: 0.500 0.000 0.133
Ag: 0.500 0.500 0.500
Bi: 0.000 0.000 0.000
Bi: 0.000 0.500 0.649
Bi: 0.500 0.000 0.351
Bi: 0.500 0.500 0.000

N(E_F)   2.855 states/eV per cell
Energy of formation   -0.478 eV/atom
Theoretical density   7.38 g/cm³

***

No. 6
The following is a DFT calculation (PBE) of a geometry-optimized TaGa structure.

Cell: 6.562 6.226 5.203 Å, 69.43 62.64 47.93°
Sites, in units of the cell vectors:
Ta: 0.063 0.687 0.063
Ta: 0.313 0.937 0.313
Ta: 0.687 0.063 0.687
Ta: 0.937 0.313 0.937
Ga: 0.193 0.557 0.557
Ga: 0.443 0.807 0.807
Ga: 0.557 0.193 0.193
Ga: 0.807 0.443 0.443

N(E_F)   2.425 states/eV per cell
Energy of formation   0.118 eV/atom
Theoretical density   11.91 g/cm³

***

No. 7
The following is a DFT calculation (PBE) of a geometry-optimized KRbW2 structure.

Cell: 7.392 7.392 7.392 Å, 97.04 97.04 139.01°
Sites, in units of the cell vectors:
K: 0.000 0.000 0.000
K: 0.750 0.250 0.500
Rb: 0.250 0.750 0.500
Rb: 0.500 0.500 0.000
W: 0.124 0.625 0.999
W: 0.375 0.374 0.499
W: 0.626 0.125 0.001
W: 0.875 0.876 0.501

N(E_F)   12.290 states/eV per cell
Energy of formation   2.644 eV/atom
Theoretical density   6.59 g/cm³

***

No. 8
The following is a DFT calculation (PBE) of a geometry-optimized Cs2LiBr6N structure.

Cell: 7.508 7.508 7.508 Å, 120.09 120.09 89.85°
Sites, in units of the cell vectors:
Cs: 0.250 0.750 0.500
Cs: 0.750 0.250 0.500
Li: 0.000 0.000 0.000
Br: 0.269 0.269 0.539
Br: 0.269 0.731 0.000
Br: 0.270 0.270 0.000
Br: 0.730 0.730 0.000
Br: 0.731 0.269 0.000
Br: 0.731 0.731 0.461
N: 0.500 0.500 0.000

N(E_F)   0.000 states/eV per cell
Final energy   -0.200 Ry per atom
Theoretical density   4.26 g/cm³